Record 1
First-principles (GGA-PBE) data for crystalline Sc3ZnPd at its relaxed geometry, as listed in Alexandria via LeMat-Bulk.

Summary:
E_form	0.0344	eV/atom
energy above the most stable polymorph in this dataset	0	meV/atom
size of the total moment	0.00	Bohr magnetons per cell

Cell lengths 5.0448, 5.0448, 5.0448 Å; angles 90.00, 90.00, 90.00 degrees
Last column: nearest neighbours and their distance in Å.
Element x y z (fractional)
Sc: 0.0000 0.0000 0.5000  2 Pd 2.52
Sc: 0.0000 0.5000 0.0000  2 Pd 2.52
Sc: 0.5000 0.0000 0.0000  2 Pd 2.52
Zn: 0.5000 0.5000 0.5000  12 Sc 3.57
Pd: 0.0000 0.0000 0.0000  6 Sc 2.52

=====

Record 2
First-principles (GGA-PBE) data for crystalline ScZn3Pd4 at its relaxed geometry, as listed in Alexandria via LeMat-Bulk.

Summary:
E_form	-0.6590	eV/atom
size of the total moment	0.00	Bohr magnetons per cell

Cell lengths 7.6370, 7.6370, 7.6370 Å; angles 33.73, 33.73, 33.73 degrees
Last column: nearest neighbours and their distance in Å.
Element x y z (fractional)
Sc: 0.0000 0.0000 0.0000  8 Pd 2.75
Zn: 0.2510 0.2510 0.2510  8 Pd 2.67-2.78
Zn: 0.5000 0.5000 0.5000  8 Pd 2.59-2.70
Zn: 0.7490 0.7490 0.7490  8 Pd 2.67-2.78
Pd: 0.1272 0.1272 0.1272  7 Zn 2.67-2.74, 1 Sc 2.75
Pd: 0.3799 0.3799 0.3799  5 Zn 2.59-2.78, 3 Sc 2.75
Pd: 0.6201 0.6201 0.6201  5 Zn 2.59-2.78, 3 Sc 2.75
Pd: 0.8728 0.8728 0.8728  7 Zn 2.67-2.74, 1 Sc 2.75

=====

Record 3
First-principles (GGA-PBE) data for crystalline Sc6ZnPd5 at its relaxed geometry, as listed in Alexandria via LeMat-Bulk.

Summary:
E_form	-0.8105	eV/atom
size of the total moment	0.00	Bohr magnetons per cell

Cell lengths 4.6934, 6.6197, 7.4217 Å; angles 90.00, 108.34, 90.00 degrees
Last column: nearest neighbours and their distance in Å.
Element x y z (fractional)
Sc: 0.0000 0.2474 0.0000  6 Pd 2.86-2.88, 2 Zn 2.88
Sc: 0.0000 0.7526 0.0000  6 Pd 2.86-2.88, 2 Zn 2.88
Sc: 0.3333 0.2495 0.6658  7 Pd 2.85-2.89, 1 Zn 2.88
Sc: 0.3333 0.7505 0.6658  7 Pd 2.85-2.89, 1 Zn 2.88
Sc: 0.6667 0.2495 0.3342  7 Pd 2.85-2.89, 1 Zn 2.88
Sc: 0.6667 0.7505 0.3342  7 Pd 2.85-2.89, 1 Zn 2.88
Zn: 0.5000 0.5000 0.0000  8 Sc 2.88
Pd: 0.1639 0.5000 0.3290  8 Sc 2.86-2.89
Pd: 0.1672 0.0000 0.3368  8 Sc 2.85-2.88
Pd: 0.5000 0.0000 0.0000  8 Sc 2.86-2.88
Pd: 0.8328 0.0000 0.6632  8 Sc 2.85-2.88
Pd: 0.8361 0.5000 0.6710  8 Sc 2.86-2.89

=====

Record 4
First-principles (GGA-PBE) data for crystalline ScZn5Pd4 at its relaxed geometry, as listed in Alexandria via LeMat-Bulk.

Summary:
E_form	-0.5082	eV/atom
size of the total moment	0.19	Bohr magnetons per cell

Cell lengths 3.1598, 3.1598, 15.2716 Å; angles 90.00, 90.00, 90.00 degrees
Last column: nearest neighbours and their distance in Å.
Element x y z (fractional)
Sc: 0.0000 0.0000 0.0000  8 Zn 2.89, 4 Sc 3.16, 2 Pd 3.23
Zn: 0.5000 0.5000 0.1198  4 Pd 2.63, 1 Zn 2.87, 4 Sc 2.89
Zn: 0.5000 0.5000 0.3074  8 Pd 2.67-2.68, 2 Zn 2.87-2.94
Zn: 0.5000 0.5000 0.5000  8 Pd 2.67, 2 Zn 2.94
Zn: 0.5000 0.5000 0.6926  8 Pd 2.67-2.68, 2 Zn 2.87-2.94
Zn: 0.5000 0.5000 0.8802  4 Pd 2.63, 1 Zn 2.87, 4 Sc 2.89
Pd: 0.0000 0.0000 0.2113  8 Zn 2.63-2.67, 1 Pd 2.94
Pd: 0.0000 0.0000 0.4040  8 Zn 2.67-2.68, 2 Pd 2.93-2.94
Pd: 0.0000 0.0000 0.5960  8 Zn 2.67-2.68, 2 Pd 2.93-2.94
Pd: 0.0000 0.0000 0.7887  8 Zn 2.63-2.67, 1 Pd 2.94

=====

Record 5
First-principles (GGA-PBE) data for crystalline ScZn2Pd3 at its relaxed geometry, as listed in Alexandria via LeMat-Bulk.

Summary:
E_form	-0.6941	eV/atom
size of the total moment	0.00	Bohr magnetons per cell

Cell lengths 4.4480, 4.4480, 10.9255 Å; angles 90.00, 90.00, 120.00 degrees
Last column: nearest neighbours and their distance in Å.
Element x y z (fractional)
Sc: 0.3333 0.6667 0.1706  8 Pd 2.74-2.77
Sc: 0.6667 0.3333 0.8294  8 Pd 2.74-2.77
Zn: 0.0000 0.0000 0.0000  8 Pd 2.72-2.86
Zn: 0.0000 0.0000 0.5000  8 Pd 2.60-2.70
Zn: 0.3333 0.6667 0.6662  8 Pd 2.66-2.74
Zn: 0.6667 0.3333 0.3338  8 Pd 2.66-2.74
Pd: 0.0000 0.0000 0.2619  5 Zn 2.60-2.86, 3 Sc 2.75
Pd: 0.0000 0.0000 0.7381  5 Zn 2.60-2.86, 3 Sc 2.75
Pd: 0.3333 0.6667 0.4223  7 Zn 2.66-2.74, 1 Sc 2.75
Pd: 0.3333 0.6667 0.9166  4 Zn 2.72-2.74, 4 Sc 2.74-2.77
Pd: 0.6667 0.3333 0.0834  4 Zn 2.72-2.74, 4 Sc 2.74-2.77
Pd: 0.6667 0.3333 0.5777  7 Zn 2.66-2.74, 1 Sc 2.75

=====

Record 6
First-principles (GGA-PBE) data for crystalline Sc4ZnPd3 at its relaxed geometry, as listed in Alexandria via LeMat-Bulk.

Summary:
E_form	-0.7656	eV/atom
size of the total moment	0.00	Bohr magnetons per cell

Cell lengths 3.2916, 3.2916, 13.4768 Å; angles 90.00, 90.00, 90.00 degrees
Last column: nearest neighbours and their distance in Å.
Element x y z (fractional)
Sc: 0.0000 0.0000 0.1254  4 Pd 2.86, 4 Zn 2.88
Sc: 0.0000 0.0000 0.3751  8 Pd 2.87-2.88
Sc: 0.0000 0.0000 0.6249  8 Pd 2.87-2.88
Sc: 0.0000 0.0000 0.8746  4 Pd 2.86, 4 Zn 2.88
Zn: 0.5000 0.5000 0.0000  8 Sc 2.88
Pd: 0.5000 0.5000 0.2489  8 Sc 2.86-2.88
Pd: 0.5000 0.5000 0.5000  8 Sc 2.87
Pd: 0.5000 0.5000 0.7511  8 Sc 2.86-2.88

=====

Record 7
First-principles (GGA-PBE) data for crystalline ScZnPd6 at its relaxed geometry, as listed in Alexandria via LeMat-Bulk.

Summary:
E_form	-0.5810	eV/atom
energy above the most stable polymorph in this dataset	0	meV/atom
size of the total moment	0.00	Bohr magnetons per cell

Cell lengths 5.5913, 5.5913, 3.9797 Å; angles 90.00, 90.00, 90.12 degrees
Last column: nearest neighbours and their distance in Å.
Element x y z (fractional)
Sc: 0.0000 0.0000 0.0000  12 Pd 2.80-2.83
Zn: 0.5000 0.5000 0.0000  12 Pd 2.78-2.80
Pd: 0.0000 0.5000 0.0000  2 Zn 2.80, 2 Sc 2.80, 8 Pd 2.80-2.81
Pd: 0.2544 0.2544 0.5000  8 Pd 2.75-2.84, 2 Zn 2.78, 2 Sc 2.83
Pd: 0.2539 0.7461 0.5000  8 Pd 2.75-2.84, 2 Zn 2.78, 2 Sc 2.83
Pd: 0.5000 0.0000 0.0000  2 Zn 2.80, 2 Sc 2.80, 8 Pd 2.80-2.81
Pd: 0.7461 0.2539 0.5000  8 Pd 2.75-2.84, 2 Zn 2.78, 2 Sc 2.83
Pd: 0.7456 0.7456 0.5000  8 Pd 2.75-2.84, 2 Zn 2.78, 2 Sc 2.83

=====

Record 8
First-principles (GGA-PBE) data for crystalline ZrScPd2 at its relaxed geometry, as listed in Alexandria via LeMat-Bulk.

Summary:
E_form	-0.7515	eV/atom
size of the total moment	0.00	Bohr magnetons per cell

Cell lengths 3.2218, 4.6351, 10.1248 Å; angles 90.00, 99.17, 90.00 degrees
Last column: nearest neighbours and their distance in Å.
Element x y z (fractional)
Zr: 0.1941 0.2500 0.3876  7 Pd 2.76-2.95
Zr: 0.8059 0.7500 0.6124  7 Pd 2.76-2.95
Sc: 0.0551 0.7500 0.1107  8 Pd 2.77-2.98
Sc: 0.9449 0.2500 0.8893  8 Pd 2.77-2.98
Pd: 0.3320 0.2500 0.6636  5 Zr 2.76-2.87, 2 Sc 2.77, 2 Pd 3.03
Pd: 0.4300 0.7500 0.8596  6 Sc 2.84-2.98, 2 Zr 2.95, 2 Pd 3.03
Pd: 0.5700 0.2500 0.1404  6 Sc 2.84-2.98, 2 Zr 2.95, 2 Pd 3.03
Pd: 0.6680 0.7500 0.3364  5 Zr 2.76-2.87, 2 Sc 2.77, 2 Pd 3.03